# 1
# IrRuRh2 | the Alexandria database | PBEsol | optimized geometry
# **Formation energy**: 359 meV per atom
# **E_tot**: -0.320 Ha/atom
# **Distance to the lowest polymorph of the same formula**: 375.8 meV per atom
# **ρ**: 14.83 Mg/m³
data_IrRuRh2
_chemical_formula_sum 'Ir1 Ru1 Rh2'
_cell_length_a 3.247
_cell_length_b 3.247
_cell_length_c 5.302
_cell_angle_alpha 90.00
_cell_angle_beta 90.00
_cell_angle_gamma 90.00
_symmetry_space_group_name_H-M 'P 4/m m m'
_symmetry_Int_Tables_number 123
_symmetry_space_group_name_Hall '-P 4 2'
loop_
_atom_site_label
_atom_site_fract_x
_atom_site_fract_y
_atom_site_fract_z
Ir1 0.000 0.000 0.000
Ru1 0.000 0.000 0.500
Rh1 0.500 0.500 0.251

---

# 2
# ZrSn3O | the Alexandria database | PBEsol | optimized geometry
# **E_tot**: -0.214 Ha/atom
# **ρ**: 7.68 Mg/m³
# **ΔE_f (raw)**: -0.41 eV/atom
data_ZrSn3O
_chemical_formula_sum 'Zr1 Sn3 O1'
_cell_length_a 4.643
_cell_length_b 4.643
_cell_length_c 4.643
_cell_angle_alpha 90.00
_cell_angle_beta 90.00
_cell_angle_gamma 90.00
_symmetry_space_group_name_H-M 'P m -3 m'
_symmetry_Int_Tables_number 221
_symmetry_space_group_name_Hall '-P 4 2 3'
loop_
_atom_site_label
_atom_site_fract_x
_atom_site_fract_y
_atom_site_fract_z
Zr1 0.000 0.000 0.000
Sn1 0.000 0.500 0.500
O1 0.500 0.500 0.500